# 1
Here is a relaxed structure of PuTh2Pa from the Alexandria database. Energies are from PBE-GGA.

Cell and atoms, written as POSCAR:
```
PuTh2Pa
1.0
-3.4188 0.1799 0.2785
-0.3133 -0.8089 -3.3235
-0.3038 -9.3353 2.3008
Pa Th Pu
1 2 1
Direct
0.5000 0.5000 0.0000
0.0000 0.0000 0.7509
0.0000 0.0000 0.2491
0.5000 0.5000 0.5000
```

Values from the calculation:
Density of states at the Fermi level   9.2 states/eV per cell
Energy of formation from the pure elements   0.125 eV per atom
Mass density   13.74 g/cm³
Distance to the lowest polymorph of the same formula   0.011 eV per atom

***

# 2
Here is a relaxed structure of Pu2ThPa10 from the Alexandria database. Energies are from PBE-GGA.

Cell and atoms, written as POSCAR:
```
Pu2ThPa10
1.0
-1.6210 -2.9860 -4.7310
-5.9994 -5.0806 1.6766
-5.7201 3.7645 -4.0017
Pu Th Pa
2 1 10
Direct
0.0000 0.5000 0.0000
0.5000 0.5000 0.0000
0.0000 0.0000 0.0000
0.3579 0.6404 0.6439
0.6421 0.3596 0.3561
0.9983 0.3596 0.6439
0.0017 0.6404 0.3561
0.0000 0.0000 0.5000
0.5000 0.0000 0.5000
0.2853 0.2188 0.2107
0.7147 0.7812 0.7893
0.5040 0.7812 0.2107
0.4960 0.2188 0.7893
```

Values from the calculation:
Density of states at the Fermi level   29.5 states/eV per cell
Energy of formation from the pure elements   0.075 eV per atom
Mass density   15.63 g/cm³